No. 1
NdSm7Zn4 after structural relaxation, computed with GGA-PBE.

Values from the calculation:
- VASP energy: -3.585 eV per atom
- Size of the total moment: 0.03 μB per atom

Structure (CIF):
```
data_NdSm7Zn4
_chemical_formula_sum 'Nd2 Sm14 Zn8'
_space_group_name_H-M_alt 'C 1 2/m 1'
_space_group_IT_number 12
_cell_length_a 14.185
_cell_length_b 5.665
_cell_length_c 9.891
_cell_angle_alpha 90.00
_cell_angle_beta 122.98
_cell_angle_gamma 90.00
loop_
_space_group_symop_operation_xyz
'x,y,z'
'-x,-y,-z'
'-x,y,-z'
'x,-y,z'
'x+1/2,y+1/2,z'
'-x+1/2,-y+1/2,-z'
'-x+1/2,y+1/2,-z'
'x+1/2,-y+1/2,z'
loop_
_atom_site_label
_atom_site_type_symbol
_atom_site_fract_x
_atom_site_fract_y
_atom_site_fract_z
Nd1 Nd 0.000 0.000 0.000
Sm1 Sm 0.000 0.500 0.000
Sm2 Sm 0.070 0.000 0.404
Sm3 Sm 0.207 0.000 0.880
Sm4 Sm 0.221 0.500 0.671
Zn1 Zn 0.040 0.500 0.732
Zn2 Zn 0.179 0.500 0.339
```

No. 2
Nd3Sm4Zn after structural relaxation, computed with GGA-PBE.

Values from the calculation:
- VASP energy: -4.377 eV per atom
- Size of the total moment: 0.00 μB per atom

Structure (CIF):
```
data_Nd3Sm4Zn
_chemical_formula_sum 'Nd3 Sm4 Zn1'
_space_group_name_H-M_alt 'P 4/m m m'
_space_group_IT_number 123
_space_group_name_Hall '-P 4 2'
_cell_length_a 3.653
_cell_length_b 3.653
_cell_length_c 19.176
_cell_angle_alpha 90.00
_cell_angle_beta 90.00
_cell_angle_gamma 90.00
loop_
_atom_site_label
_atom_site_type_symbol
_atom_site_fract_x
_atom_site_fract_y
_atom_site_fract_z
Nd1 Nd 0.000 0.000 0.000
Nd2 Nd 0.000 0.000 0.270
Sm1 Sm 0.500 0.500 0.135
Sm2 Sm 0.500 0.500 0.406
Zn1 Zn 0.000 0.000 0.500
```

No. 3
NdSm4Zn after structural relaxation, computed with GGA-PBE.

Values from the calculation:
- Polymorph energy (0 for the lowest one): 0 meV/atom
- Size of the total moment: 0.00 μB per atom

Structure (CIF):
```
data_NdSm4Zn
_chemical_formula_sum 'Nd1 Sm4 Zn1'
_space_group_name_H-M_alt 'P 4/m m m'
_space_group_IT_number 123
_space_group_name_Hall '-P 4 2'
_cell_length_a 3.647
_cell_length_b 3.647
_cell_length_c 13.928
_cell_angle_alpha 90.00
_cell_angle_beta 90.00
_cell_angle_gamma 90.00
loop_
_atom_site_label
_atom_site_type_symbol
_atom_site_fract_x
_atom_site_fract_y
_atom_site_fract_z
Nd1 Nd 0.000 0.000 0.000
Sm1 Sm 0.000 0.000 0.371
Sm2 Sm 0.500 0.500 0.185
Zn1 Zn 0.500 0.500 0.500
```

No. 4
NdSm2Zn3 after structural relaxation, computed with GGA-PBE.

Values from the calculation:
- Polymorph energy (0 for the lowest one): 0 meV/atom
- Size of the total moment: 0.00 μB per atom

Structure (CIF):
```
data_NdSm2Zn3
_chemical_formula_sum 'Nd2 Sm4 Zn6'
_space_group_name_H-M_alt 'P 1 2/m 1'
_space_group_IT_number 10
_cell_length_a 5.161
_cell_length_b 7.320
_cell_length_c 8.162
_cell_angle_alpha 90.00
_cell_angle_beta 108.22
_cell_angle_gamma 90.00
loop_
_space_group_symop_operation_xyz
'x,y,z'
'-x,-y,-z'
'-x,y,-z'
'x,-y,z'
loop_
_atom_site_label
_atom_site_type_symbol
_atom_site_fract_x
_atom_site_fract_y
_atom_site_fract_z
Nd1 Nd 0.166 0.000 0.333
Sm1 Sm 0.167 0.500 0.334
Sm2 Sm 0.500 0.000 0.000
Sm3 Sm 0.500 0.500 0.000
Zn1 Zn 0.000 0.254 0.000
Zn2 Zn 0.335 0.254 0.669
```

No. 5
NdSmZn3 after structural relaxation, computed with GGA-PBE.

Values from the calculation:
- VASP energy: -2.975 eV per atom
- Size of the total moment: 0.00 μB per atom

Structure (CIF):
```
data_NdSmZn3
_chemical_formula_sum 'Nd4 Sm4 Zn12'
_space_group_name_H-M_alt 'C m c m'
_space_group_IT_number 63
_space_group_name_Hall '-C 2c 2'
_cell_length_a 3.626
_cell_length_b 27.596
_cell_length_c 4.586
_cell_angle_alpha 90.00
_cell_angle_beta 90.00
_cell_angle_gamma 90.00
loop_
_atom_site_label
_atom_site_type_symbol
_atom_site_fract_x
_atom_site_fract_y
_atom_site_fract_z
Nd1 Nd 0.000 0.072 0.250
Sm1 Sm 0.000 0.209 0.750
Zn1 Zn 0.000 0.329 0.750
Zn2 Zn 0.000 0.382 0.250
Zn3 Zn 0.000 0.477 0.250
```

No. 6
Nd8Sm2Zn after structural relaxation, computed with GGA-PBE.

Values from the calculation:
- Polymorph energy (0 for the lowest one): 0 meV/atom
- Size of the total moment: 0.00 μB per atom

Structure (CIF):
```
data_Nd8Sm2Zn
_chemical_formula_sum 'Nd16 Sm4 Zn2'
_space_group_name_H-M_alt 'C 1 2/m 1'
_space_group_IT_number 12
_cell_length_a 19.488
_cell_length_b 5.721
_cell_length_c 6.583
_cell_angle_alpha 90.00
_cell_angle_beta 93.21
_cell_angle_gamma 90.00
loop_
_space_group_symop_operation_xyz
'x,y,z'
'-x,-y,-z'
'-x,y,-z'
'x,-y,z'
'x+1/2,y+1/2,z'
'-x+1/2,-y+1/2,-z'
'-x+1/2,y+1/2,-z'
'x+1/2,-y+1/2,z'
loop_
_atom_site_label
_atom_site_type_symbol
_atom_site_fract_x
_atom_site_fract_y
_atom_site_fract_z
Nd1 Nd 0.039 0.000 0.251
Nd2 Nd 0.079 0.500 0.608
Nd3 Nd 0.155 0.500 0.120
Nd4 Nd 0.156 0.000 0.809
Sm1 Sm 0.237 0.000 0.333
Zn1 Zn 0.000 0.500 0.000
```

No. 7
Nd3SmZn4 after structural relaxation, computed with GGA-PBE.

Values from the calculation:
- VASP energy: -3.326 eV per atom
- Size of the total moment: 0.00 μB per atom

Structure (CIF):
```
data_Nd3SmZn4
_chemical_formula_sum 'Nd3 Sm1 Zn4'
_space_group_name_H-M_alt 'P 4/m m m'
_space_group_IT_number 123
_space_group_name_Hall '-P 4 2'
_cell_length_a 5.185
_cell_length_b 5.185
_cell_length_c 7.368
_cell_angle_alpha 90.00
_cell_angle_beta 90.00
_cell_angle_gamma 90.00
loop_
_atom_site_label
_atom_site_type_symbol
_atom_site_fract_x
_atom_site_fract_y
_atom_site_fract_z
Nd1 Nd 0.000 0.000 0.000
Nd2 Nd 0.000 0.000 0.500
Nd3 Nd 0.500 0.500 0.000
Sm1 Sm 0.500 0.500 0.500
Zn1 Zn 0.000 0.500 0.252
```

No. 8
Nd2SmZn3 after structural relaxation, computed with GGA-PBE.

Values from the calculation:
- Polymorph energy (0 for the lowest one): 0 meV/atom
- Size of the total moment: 0.00 μB per atom

Structure (CIF):
```
data_Nd2SmZn3
_chemical_formula_sum 'Nd2 Sm1 Zn3'
_space_group_name_H-M_alt 'P -3 m 1'
_space_group_IT_number 164
_space_group_name_Hall '-P 3 2"'
_cell_length_a 5.1871
_cell_length_b 5.1871
_cell_length_c 6.3548
_cell_angle_alpha 90.00
_cell_angle_beta 90.00
_cell_angle_gamma 120.00
loop_
_atom_site_label
_atom_site_type_symbol
_atom_site_fract_x
_atom_site_fract_y
_atom_site_fract_z
Nd1 Nd 0.3333 0.6667 0.1696
Sm1 Sm 0.0000 0.0000 0.5000
Zn1 Zn 0.0000 0.0000 0.0000
Zn2 Zn 0.3333 0.6667 0.6660
```

No. 9
NdSm4Zn2 after structural relaxation, computed with GGA-PBE.

Values from the calculation:
- VASP energy: -3.602 eV per atom
- Size of the total moment: 0.00 μB per atom

Structure (CIF):
```
data_NdSm4Zn2
_chemical_formula_sum 'Nd3 Sm12 Zn6'
_space_group_name_H-M_alt 'R -3 m'
_space_group_IT_number 166
_space_group_name_Hall '-R 3 2"'
_cell_length_a 5.0170
_cell_length_b 5.0170
_cell_length_c 30.4664
_cell_angle_alpha 90.00
_cell_angle_beta 90.00
_cell_angle_gamma 120.00
loop_
_atom_site_label
_atom_site_type_symbol
_atom_site_fract_x
_atom_site_fract_y
_atom_site_fract_z
Nd1 Nd 0.0000 0.0000 0.0000
Sm1 Sm 0.0000 0.0000 0.2010
Sm2 Sm 0.0000 0.0000 0.3981
Zn1 Zn 0.0000 0.0000 0.1001
```

No. 10
NdSm2Zn2 after structural relaxation, computed with GGA-PBE.

Values from the calculation:
- Polymorph energy (0 for the lowest one): 0 meV/atom
- Size of the total moment: 0.00 μB per atom

Structure (CIF):
```
data_NdSm2Zn2
_chemical_formula_sum 'Nd2 Sm4 Zn4'
_space_group_name_H-M_alt 'P 1 21/m 1'
_space_group_IT_number 11
_cell_length_a 3.702
_cell_length_b 5.283
_cell_length_c 13.653
_cell_angle_alpha 90.00
_cell_angle_beta 97.82
_cell_angle_gamma 90.00
loop_
_space_group_symop_operation_xyz
'x,y,z'
'-x,-y,-z'
'-x,y+1/2,-z'
'x,-y+1/2,z'
loop_
_atom_site_label
_atom_site_type_symbol
_atom_site_fract_x
_atom_site_fract_y
_atom_site_fract_z
Nd1 Nd 0.144 0.250 0.284
Sm1 Sm 0.046 0.750 0.093
Sm2 Sm 0.232 0.750 0.465
Zn1 Zn 0.359 0.250 0.720
Zn2 Zn 0.452 0.750 0.905
```

No. 11
Nd2Sm6Zn after structural relaxation, computed with GGA-PBE.

Values from the calculation:
- Polymorph energy (0 for the lowest one): 0 meV/atom
- Size of the total moment: 0.00 μB per atom

Structure (CIF):
```
data_Nd2Sm6Zn
_chemical_formula_sum 'Nd4 Sm12 Zn2'
_space_group_name_H-M_alt 'A m m 2'
_space_group_IT_number 38
_cell_length_a 3.738
_cell_length_b 16.410
_cell_length_c 9.483
_cell_angle_alpha 90.00
_cell_angle_beta 90.00
_cell_angle_gamma 90.00
loop_
_space_group_symop_operation_xyz
'x,y,z'
'-x,-y,z'
'-x,y,z'
'x,-y,z'
'x,y+1/2,z+1/2'
'-x,-y+1/2,z+1/2'
'-x,y+1/2,z+1/2'
'x,-y+1/2,z+1/2'
loop_
_atom_site_label
_atom_site_type_symbol
_atom_site_fract_x
_atom_site_fract_y
_atom_site_fract_z
Nd1 Nd 0.000 0.167 0.000
Sm1 Sm 0.000 0.000 0.757
Sm2 Sm 0.000 0.128 0.372
Sm3 Sm 0.500 0.000 0.116
Sm4 Sm 0.500 0.192 0.692
Zn1 Zn 0.500 0.000 0.500
```

No. 12
NdSmZn after structural relaxation, computed with GGA-PBE.

Values from the calculation:
- Polymorph energy (0 for the lowest one): 233 meV/atom
- Size of the total moment: 0.00 μB per atom

Structure (CIF):
```
data_NdSmZn
_chemical_formula_sum 'Nd4 Sm4 Zn4'
_space_group_name_H-M_alt 'F -4 3 m'
_space_group_IT_number 216
_space_group_name_Hall 'F -4 2 3'
_cell_length_a 7.172
_cell_length_b 7.172
_cell_length_c 7.172
_cell_angle_alpha 90.00
_cell_angle_beta 90.00
_cell_angle_gamma 90.00
loop_
_atom_site_label
_atom_site_type_symbol
_atom_site_fract_x
_atom_site_fract_y
_atom_site_fract_z
Nd1 Nd 0.000 0.000 0.000
Sm1 Sm 0.000 0.000 0.500
Zn1 Zn 0.250 0.250 0.750
```

Question: Which formula does entry 1 have?
Answer: NdSm7Zn4

Question: Number 4 is which compound?
Answer: NdSm2Zn3